1.
5
Lattice="-0.504 -0.663 -4.064 0.329 -4.087 0.626 -4.014 -0.241 0.537" Properties=species:S:1:pos:R:3 comment="PBE-GGA AgIN2O, optimized geometry" e_form_raw_ev_per_atom=1.916 volume_a3_per_cell=69.8 pbc="T T T"
I -2.095 -2.495 -1.450
O -2.007 -0.120 0.269
Ag 0.000 0.000 0.000
N 0.164 -2.044 0.313
N -0.252 -0.331 -2.032

2.
5
Lattice="4.022 0.000 0.000 0.000 4.022 0.000 0.000 0.000 4.298" Properties=species:S:1:pos:R:3 comment="PBE-GGA AgINO2, optimized geometry" e_form_raw_ev_per_atom=1.354 volume_a3_per_cell=69.5 pbc="T T T"
I 0.000 0.000 2.149
O 0.000 2.011 0.000
O 2.011 0.000 0.000
Ag 2.011 2.011 2.149
N 0.000 0.000 0.000

3.
5
Lattice="4.184 0.000 0.000 0.000 4.184 0.000 0.000 0.000 4.530" Properties=species:S:1:pos:R:3 comment="PBE-GGA AgIN2O, optimized geometry" e_form_raw_ev_per_atom=2.165 volume_a3_per_cell=79.3 pbc="T T T"
I 0.000 0.000 2.265
O 0.000 0.000 0.000
Ag 2.092 2.092 2.265
N 0.000 2.092 0.000
N 2.092 0.000 0.000

4.
5
Lattice="-3.336 1.389 1.926 0.921 -2.305 3.257 2.210 3.116 1.581" Properties=species:S:1:pos:R:3 comment="PBE-GGA AgINO2, optimized geometry" e_form_raw_ev_per_atom=0.829 volume_a3_per_cell=69.3 pbc="T T T"
I 0.000 0.000 0.000
O 0.460 -1.153 1.628
O -1.668 0.694 0.963
Ag -0.103 1.099 3.382
N 1.105 1.558 0.790